DFT (GGA-PBE) results for crystalline Pm2Sm5Tl4 at its relaxed geometry. Values from VASP.

E_form = -184 meV/atom
Mass density = 9.34 g cm⁻³

The structure in Quantum ESPRESSO input format:
```
&SYSTEM
  ibrav = 0, nat = 11, ntyp = 3
/
ATOMIC_SPECIES
Tl 204.38 Tl.upf
Sm 150.36 Sm.upf
Pm 145.00 Pm.upf
ATOMIC_POSITIONS angstrom
Tl -2.2387 -0.4179 -1.7523
Tl -6.4198 -8.1523 -6.9264
Tl -4.0407 -3.7492 -6.5381
Tl -4.6178 -4.8211 -2.1407
Sm -0.2287 -0.4194 -4.3590
Sm -1.1080 -2.0445 -7.2952
Sm -4.4356 -8.2086 -1.3850
Sm -3.6349 -6.7238 -4.6384
Sm -1.9087 -3.5294 -4.0418
Pm -3.6669 -6.7801 -7.9352
Pm -1.8767 -3.4730 -0.7450
CELL_PARAMETERS angstrom
-3.1149 1.6829 0.0015
-0.4573 -0.8389 -8.7180
-5.0863 -9.4143 0.0378
```

=====

DFT (GGA-PBE) results for crystalline Pm5Sm4Tl at its relaxed geometry. Values from VASP.

E_form = 23 meV/atom
Mass density = 7.72 g cm⁻³

The structure in Quantum ESPRESSO input format:
```
&SYSTEM
  ibrav = 0, nat = 10, ntyp = 3
/
ATOMIC_SPECIES
Sm 150.36 Sm.upf
Pm 145.00 Pm.upf
Tl 204.38 Tl.upf
ATOMIC_POSITIONS angstrom
Sm -0.0430 -4.1115 6.0179
Sm -0.0867 -8.2835 12.1242
Sm -0.0649 -6.1989 9.0731
Sm -0.0212 -2.0269 2.9667
Pm 1.4306 -11.5290 12.2974
Pm 1.5193 -3.0556 -0.1048
Pm 1.4749 -7.2923 6.0963
Pm 1.4528 -9.4053 9.1890
Pm 1.4970 -5.1794 3.0037
Tl 0.0000 0.0000 0.0000
CELL_PARAMETERS angstrom
-1.0531 -3.3909 -2.3243
4.1109 -0.8833 -0.5741
-0.1080 -10.3105 15.0910
```

=====

DFT (GGA-PBE) results for crystalline Pm4Sm3Tl at its relaxed geometry. Values from VASP.

E_form = -1 meV/atom
Mass density = 7.87 g cm⁻³

The structure in Quantum ESPRESSO input format:
```
&SYSTEM
  ibrav = 0, nat = 8, ntyp = 3
/
ATOMIC_SPECIES
Sm 150.36 Sm.upf
Pm 145.00 Pm.upf
Tl 204.38 Tl.upf
ATOMIC_POSITIONS angstrom
Sm 7.2687 -0.5977 8.6871
Sm 4.2552 -0.5022 6.5897
Sm 1.2416 -0.4066 4.4923
Pm 7.5023 -0.2378 5.2215
Pm 10.5876 -0.3356 7.3688
Pm 1.3384 -0.0424 0.9315
Pm 4.4237 -0.1402 3.0788
Tl -1.7078 -0.3132 2.4396
CELL_PARAMETERS angstrom
-1.8232 2.6638 2.7409
-1.5924 -3.2901 2.1382
11.9260 -0.3780 8.3003
```

=====

DFT (GGA-PBE) results for crystalline Pm3Sm4Tl2 at its relaxed geometry. Values from VASP.

E_form = -112 meV/atom
Mass density = 8.38 g cm⁻³

The structure in Quantum ESPRESSO input format:
```
&SYSTEM
  ibrav = 0, nat = 9, ntyp = 3
/
ATOMIC_SPECIES
Pm 145.00 Pm.upf
Tl 204.38 Tl.upf
Sm 150.36 Sm.upf
ATOMIC_POSITIONS angstrom
Pm 0.0000 0.0000 0.0000
Pm 2.0528 -0.7164 4.4353
Pm 3.4967 4.7695 1.8190
Tl 1.5407 0.7563 7.5069
Tl 4.0088 3.2967 -1.2526
Sm 5.8612 2.4588 3.1539
Sm 2.8884 1.2899 1.3892
Sm 2.6610 2.7632 4.8651
Sm -0.3117 1.5942 3.1003
CELL_PARAMETERS angstrom
-2.6290 3.8984 1.8465
1.0369 -2.7001 7.1770
7.1415 2.8548 -2.7693
```

=====

DFT (GGA-PBE) results for crystalline Pm3SmTl at its relaxed geometry. Values from VASP.

E_form = 355 meV/atom
Mass density = 6.87 g cm⁻³

The structure in Quantum ESPRESSO input format:
```
&SYSTEM
  ibrav = 0, nat = 5, ntyp = 3
/
ATOMIC_SPECIES
Pm 145.00 Pm.upf
Tl 204.38 Tl.upf
Sm 150.36 Sm.upf
ATOMIC_POSITIONS angstrom
Pm 3.8157 -0.0772 0.4985
Pm 0.4276 3.7925 0.4985
Pm -0.0882 -0.0772 3.8471
Tl 0.7957 0.6966 0.9276
Sm 2.5638 2.2447 2.9889
CELL_PARAMETERS angstrom
6.0399 -1.5476 -0.8581
-0.7361 6.1914 -0.8581
-1.7676 -1.5476 5.8388
```

=====

DFT (GGA-PBE) results for crystalline PmSm6Tl6 at its relaxed geometry. Values from VASP.

E_form = -218 meV/atom
Mass density = 9.51 g cm⁻³

The structure in Quantum ESPRESSO input format:
```
&SYSTEM
  ibrav = 0, nat = 13, ntyp = 3
/
ATOMIC_SPECIES
Sm 150.36 Sm.upf
Tl 204.38 Tl.upf
Pm 145.00 Pm.upf
ATOMIC_POSITIONS angstrom
Sm 3.8063 -3.1440 4.3730
Sm 1.6575 -0.7739 6.3364
Sm -0.1462 -3.6850 0.7000
Sm -2.2951 -1.3148 2.6635
Sm 2.6452 0.3620 2.4581
Sm 5.2599 0.7199 4.8877
Tl 2.9470 -2.7613 1.1763
Tl 3.7374 1.3433 7.8513
Tl 0.7249 -2.2336 3.4897
Tl 6.9608 -2.2119 4.9061
Tl 4.7389 -1.6842 7.2197
Tl -0.2764 0.7940 4.1215
Pm 0.0000 0.0000 0.0000
CELL_PARAMETERS angstrom
-4.4440 1.0554 4.6270
2.0027 -6.0551 -1.2634
7.9051 1.0819 7.3458
```

=====

DFT (GGA-PBE) results for crystalline Pm3Sm12Tl at its relaxed geometry. Values from VASP.

E_form = -27 meV/atom
Mass density = 7.68 g cm⁻³

The structure in Quantum ESPRESSO input format:
```
&SYSTEM
  ibrav = 0, nat = 16, ntyp = 3
/
ATOMIC_SPECIES
Sm 150.36 Sm.upf
Pm 145.00 Pm.upf
Tl 204.38 Tl.upf
ATOMIC_POSITIONS angstrom
Sm 2.5322 0.0000 7.6922
Sm 2.5322 0.0000 2.4835
Sm 0.0000 2.5322 7.6922
Sm 2.5322 2.5322 5.0395
Sm 2.5322 0.0000 18.1219
Sm 0.0000 2.5322 12.9132
Sm 0.0000 2.5322 2.4835
Sm 2.5322 0.0000 12.9132
Sm 2.5322 2.5322 10.3027
Sm 2.5322 2.5322 0.0000
Sm 0.0000 2.5322 18.1219
Sm 2.5322 2.5322 15.5659
Pm 0.0000 0.0000 10.3027
Pm 0.0000 0.0000 15.4996
Pm 0.0000 0.0000 5.1058
Tl 0.0000 0.0000 0.0000
CELL_PARAMETERS angstrom
5.0645 0.0000 0.0000
0.0000 5.0645 0.0000
0.0000 0.0000 20.6054
```

=====

DFT (GGA-PBE) results for crystalline Pm4Sm5Tl2 at its relaxed geometry. Values from VASP.

E_form = -16 meV/atom
Mass density = 8.06 g cm⁻³

The structure in Quantum ESPRESSO input format:
```
&SYSTEM
  ibrav = 0, nat = 11, ntyp = 3
/
ATOMIC_SPECIES
Pm 145.00 Pm.upf
Sm 150.36 Sm.upf
Tl 204.38 Tl.upf
ATOMIC_POSITIONS angstrom
Pm 0.0716 -5.3642 -2.3441
Pm -2.7805 -9.6670 -2.2518
Pm 6.2459 -3.1522 -3.2186
Pm 3.3938 -7.4550 -3.1263
Sm 3.1035 -10.8436 -1.5751
Sm 4.1179 -1.2165 -0.8389
Sm 0.9775 -2.3085 -0.3910
Sm 0.6738 -8.5911 -0.9344
Sm 3.4072 -4.5609 -1.0317
Tl 6.2389 -6.1762 -1.6826
Tl -2.1579 -6.9759 -0.2835
CELL_PARAMETERS angstrom
-0.6156 0.3328 -3.5043
8.2359 -2.4330 -1.6778
-4.1549 -10.7190 -0.2883
```

=====

DFT (GGA-PBE) results for crystalline Pm3Sm8Tl at its relaxed geometry. Values from VASP.

E_form = 462 meV/atom
Mass density = 6.98 g cm⁻³

The structure in Quantum ESPRESSO input format:
```
&SYSTEM
  ibrav = 0, nat = 12, ntyp = 3
/
ATOMIC_SPECIES
Pm 145.00 Pm.upf
Sm 150.36 Sm.upf
Tl 204.38 Tl.upf
ATOMIC_POSITIONS angstrom
Pm 4.2407 -0.4108 3.0277
Pm 1.8902 4.2442 3.3823
Pm -1.5327 0.6221 4.9582
Sm 0.4791 -1.9037 2.4516
Sm 4.6687 3.5920 2.3174
Sm -1.0162 4.6091 4.2183
Sm 2.3569 2.4023 5.7633
Sm 4.2841 6.0728 4.5590
Sm 1.3583 6.5963 5.5373
Sm 1.1665 1.1320 2.8830
Sm -0.3204 -5.1013 1.7712
Tl 0.0000 0.0000 0.0000
CELL_PARAMETERS angstrom
-1.0724 -8.2771 1.2213
7.6637 3.2113 1.4518
-3.8832 5.2771 5.3128
```

=====

DFT (GGA-PBE) results for crystalline Pm6SmTl2 at its relaxed geometry. Values from VASP.

E_form = -35 meV/atom
Mass density = 7.93 g cm⁻³

The structure in Quantum ESPRESSO input format:
```
&SYSTEM
  ibrav = 0, nat = 9, ntyp = 3
/
ATOMIC_SPECIES
Pm 145.00 Pm.upf
Tl 204.38 Tl.upf
Sm 150.36 Sm.upf
ATOMIC_POSITIONS angstrom
Pm 2.1911 1.3929 8.9708
Pm 5.3011 1.7163 7.4946
Pm 0.1468 -0.5399 4.2404
Pm 3.1222 -1.0224 6.3535
Pm 3.2568 -0.2164 2.7642
Pm 2.3258 2.1989 5.3815
Tl 4.9212 0.6785 10.5163
Tl 1.3231 -2.7233 2.1908
Sm 0.0000 0.0000 0.0000
CELL_PARAMETERS angstrom
-2.3135 -3.5447 2.4482
3.9064 -2.8978 -0.5042
4.6515 4.3977 10.7630
```

=====

DFT (GGA-PBE) results for crystalline PmSm2Tl9 at its relaxed geometry. Values from VASP.

E_form = -299 meV/atom
Mass density = 11.36 g cm⁻³

The structure in Quantum ESPRESSO input format:
```
&SYSTEM
  ibrav = 0, nat = 12, ntyp = 3
/
ATOMIC_SPECIES
Tl 204.38 Tl.upf
Sm 150.36 Sm.upf
Pm 145.00 Pm.upf
ATOMIC_POSITIONS angstrom
Tl 0.0000 2.4051 7.2174
Tl 2.4051 0.0000 12.0216
Tl 0.0000 2.4051 12.0216
Tl 2.4051 0.0000 7.2174
Tl 2.4051 0.0000 2.4132
Tl 2.4051 2.4051 9.6212
Tl 2.4051 2.4051 0.0000
Tl 2.4051 2.4051 4.8136
Tl 0.0000 2.4051 2.4132
Sm 0.0000 0.0000 9.6203
Sm 0.0000 0.0000 4.8145
Pm 0.0000 0.0000 0.0000
CELL_PARAMETERS angstrom
4.8101 0.0000 0.0000
0.0000 4.8101 0.0000
0.0000 0.0000 14.4348
```

=====

DFT (GGA-PBE) results for crystalline PmSmTl2 at its relaxed geometry. Values from VASP.

E_form = -270 meV/atom
Mass density = 9.32 g cm⁻³

The structure in Quantum ESPRESSO input format:
```
&SYSTEM
  ibrav = 0, nat = 4, ntyp = 3
/
ATOMIC_SPECIES
Tl 204.38 Tl.upf
Sm 150.36 Sm.upf
Pm 145.00 Pm.upf
ATOMIC_POSITIONS angstrom
Tl -0.4875 -0.2263 3.2446
Tl -1.4455 -0.6620 9.7698
Sm 0.0000 0.0000 0.0000
Pm -0.9665 -0.4441 6.5072
CELL_PARAMETERS angstrom
-3.4233 -0.2926 1.7636
-0.9051 -3.2154 1.9381
2.3953 2.6198 9.3127
```

=====

DFT (GGA-PBE) results for crystalline Pm3Sm2Tl4 at its relaxed geometry. Values from VASP.

E_form = -318 meV/atom
Mass density = 9.56 g cm⁻³

The structure in Quantum ESPRESSO input format:
```
&SYSTEM
  ibrav = 0, nat = 9, ntyp = 3
/
ATOMIC_SPECIES
Sm 150.36 Sm.upf
Tl 204.38 Tl.upf
Pm 145.00 Pm.upf
ATOMIC_POSITIONS angstrom
Sm -5.3045 1.2879 3.8304
Sm -1.7555 6.7776 5.4454
Tl -2.6643 0.5642 1.8671
Tl 0.4646 3.1819 1.8281
Tl -4.3958 7.5013 7.4087
Tl -7.5247 4.8836 7.4477
Pm 0.0000 0.0000 0.0000
Pm -4.8259 4.5588 5.7146
Pm -2.2341 3.5067 3.5612
CELL_PARAMETERS angstrom
-5.3574 0.7961 -0.0277
-3.0425 -1.9016 4.0354
1.3399 9.1710 5.2681
```

=====

DFT (GGA-PBE) results for crystalline PmSm3Tl5 at its relaxed geometry. Values from VASP.

E_form = -332 meV/atom
Mass density = 10.28 g cm⁻³

The structure in Quantum ESPRESSO input format:
```
&SYSTEM
  ibrav = 0, nat = 18, ntyp = 3
/
ATOMIC_SPECIES
Sm 150.36 Sm.upf
Tl 204.38 Tl.upf
Pm 145.00 Pm.upf
ATOMIC_POSITIONS angstrom
Sm 6.4351 -3.9449 -3.9382
Sm -3.2708 -6.9489 1.4209
Sm -0.0839 -5.5655 -2.4940
Sm 2.4116 -3.4489 -6.5795
Sm 2.0307 -1.2521 -3.0733
Sm 3.2482 -5.3284 -0.0233
Tl -0.1412 -3.2357 -4.7481
Tl 1.7242 -4.3437 2.9088
Tl -2.8488 -4.9035 -0.9359
Tl 1.1177 -3.0697 -0.5488
Tl 4.5834 -1.4653 -4.9048
Tl -1.7153 -5.3449 3.9633
Tl 0.0811 -6.3714 0.8547
Tl 2.0466 -7.8241 -1.9685
Tl 3.0832 -4.5224 -3.3720
Tl 4.7263 -2.4946 -1.3179
Pm 0.0000 0.0000 0.0000
Pm -1.6431 -2.0278 -2.0541
CELL_PARAMETERS angstrom
-3.2861 -4.0555 -4.1082
7.7284 -0.6454 -5.5447
-1.2779 -6.1928 7.1356
```

=====

DFT (GGA-PBE) results for crystalline Pm5Sm2Tl4 at its relaxed geometry. Values from VASP.

E_form = -193 meV/atom
Mass density = 9.22 g cm⁻³

The structure in Quantum ESPRESSO input format:
```
&SYSTEM
  ibrav = 0, nat = 11, ntyp = 3
/
ATOMIC_SPECIES
Pm 145.00 Pm.upf
Sm 150.36 Sm.upf
Tl 204.38 Tl.upf
ATOMIC_POSITIONS angstrom
Pm 5.9983 -4.7412 0.6403
Pm 4.0750 -2.6347 2.9877
Pm 3.3307 -2.8265 -0.4882
Pm 5.5165 -3.0374 6.3493
Pm 3.5933 -0.9309 8.6967
Sm 7.9574 -5.1778 5.6910
Sm 1.6341 -0.4943 3.6460
Tl 0.5919 -2.4940 1.3367
Tl 6.7985 -5.8791 8.6207
Tl 5.1520 -5.6183 3.9142
Tl 2.2383 -2.7548 6.0431
CELL_PARAMETERS angstrom
-2.2012 -2.7010 0.6204
6.6615 -5.6530 -0.9764
2.9301 -0.0191 10.3134
```

=====

DFT (GGA-PBE) results for crystalline PmSmTl2 at its relaxed geometry. Values from VASP.

E_form = -381 meV/atom
Mass density = 10.06 g cm⁻³

The structure in Quantum ESPRESSO input format:
```
&SYSTEM
  ibrav = 0, nat = 4, ntyp = 3
/
ATOMIC_SPECIES
Pm 145.00 Pm.upf
Tl 204.38 Tl.upf
Sm 150.36 Sm.upf
ATOMIC_POSITIONS angstrom
Pm -3.3328 0.2221 0.3060
Tl -6.6656 0.4442 0.6120
Tl 0.0000 0.0000 0.0000
Sm -9.9983 0.6662 0.9179
CELL_PARAMETERS angstrom
-4.6617 1.1935 -2.6165
-4.5790 -2.7723 1.1605
-4.0904 2.4671 2.6799
```

=====

DFT (GGA-PBE) results for crystalline Pm6SmTl5 at its relaxed geometry. Values from VASP.

E_form = -301 meV/atom
Mass density = 9.48 g cm⁻³

The structure in Quantum ESPRESSO input format:
```
&SYSTEM
  ibrav = 0, nat = 12, ntyp = 3
/
ATOMIC_SPECIES
Tl 204.38 Tl.upf
Pm 145.00 Pm.upf
Sm 150.36 Sm.upf
ATOMIC_POSITIONS angstrom
Tl 3.0168 1.1202 1.2472
Tl 1.2265 2.3982 4.2375
Tl 0.7045 6.5661 2.5067
Tl -0.6203 3.9757 -2.0705
Tl 2.4948 5.2882 -0.4836
Pm -0.2669 7.1322 -0.8149
Pm 0.3227 3.3539 1.1527
Pm 3.3986 4.3324 2.6011
Pm 2.1136 2.1600 -1.8342
Pm 3.9882 0.5541 4.5688
Pm 1.5437 5.8115 -3.7358
Sm 0.0000 0.0000 0.0000
CELL_PARAMETERS angstrom
4.8980 0.0200 -1.4290
-1.2406 7.9514 -4.1410
0.0639 -0.2851 9.3238
```

=====

DFT (GGA-PBE) results for crystalline Pm5SmTl4 at its relaxed geometry. Values from VASP.

E_form = -295 meV/atom
Mass density = 9.32 g cm⁻³

The structure in Quantum ESPRESSO input format:
```
&SYSTEM
  ibrav = 0, nat = 10, ntyp = 3
/
ATOMIC_SPECIES
Pm 145.00 Pm.upf
Tl 204.38 Tl.upf
Sm 150.36 Sm.upf
ATOMIC_POSITIONS angstrom
Pm -1.2331 -2.8923 6.7591
Pm 0.1348 -5.2080 19.6748
Pm -0.7765 -3.6652 11.0699
Pm -1.6879 -2.1224 2.4650
Pm -0.3200 -4.4381 15.3806
Tl 1.4104 -2.3877 13.3172
Tl 0.4969 -0.8413 4.6921
Tl 0.9537 -1.6144 9.0044
Tl 1.8671 -3.1608 17.6295
Sm 0.0000 0.0000 0.0000
CELL_PARAMETERS angstrom
-3.6037 0.2438 0.4254
-0.3134 -3.5722 -0.6073
2.3641 -4.0021 22.3217
```

=====

DFT (GGA-PBE) results for crystalline Pm5Sm3Tl at its relaxed geometry. Values from VASP.

E_form = 275 meV/atom
Mass density = 7.21 g cm⁻³

The structure in Quantum ESPRESSO input format:
```
&SYSTEM
  ibrav = 0, nat = 18, ntyp = 3
/
ATOMIC_SPECIES
Pm 145.00 Pm.upf
Sm 150.36 Sm.upf
Tl 204.38 Tl.upf
ATOMIC_POSITIONS angstrom
Pm 4.9147 3.7110 2.5403
Pm 8.4445 4.0646 3.1666
Pm 5.3367 2.2452 -0.8745
Pm 5.7018 4.3054 9.1127
Pm 6.9921 5.2797 0.2505
Pm 2.1720 3.9518 8.4864
Pm 3.6204 4.5182 -0.8745
Pm 6.2211 7.0092 3.1666
Pm 3.6244 2.7367 11.4025
Pm 4.3954 1.0072 8.4864
Sm 0.8297 0.6265 6.7010
Sm 6.5309 4.9314 5.7182
Sm 2.3454 1.7710 1.3472
Sm 4.0856 3.0850 5.9348
Sm 0.0000 0.0000 0.0000
Sm 8.2711 6.2454 10.3058
Tl 1.2317 0.9300 9.9307
Tl 9.3848 7.0864 1.7223
CELL_PARAMETERS angstrom
6.9668 0.0863 -0.8745
1.9902 6.6770 -0.8745
1.6594 1.2530 13.4020
```

=====

DFT (GGA-PBE) results for crystalline PmSm6Tl3 at its relaxed geometry. Values from VASP.

E_form = -200 meV/atom
Mass density = 8.90 g cm⁻³

The structure in Quantum ESPRESSO input format:
```
&SYSTEM
  ibrav = 0, nat = 20, ntyp = 3
/
ATOMIC_SPECIES
Sm 150.36 Sm.upf
Pm 145.00 Pm.upf
Tl 204.38 Tl.upf
ATOMIC_POSITIONS angstrom
Sm 1.3254 3.1354 5.3007
Sm 1.3254 1.5401 2.2513
Sm 3.9763 9.2320 6.8692
Sm 3.9763 2.3606 7.8350
Sm 3.9763 7.6368 3.8199
Sm 1.3254 6.9317 6.3988
Sm 1.3254 4.5870 0.0348
Sm 1.3254 8.4115 1.2855
Sm 3.9763 3.8404 2.7217
Sm 3.9763 9.3786 -1.1299
Sm 3.9763 6.1852 9.0857
Sm 1.3254 1.3936 10.2504
Pm 1.3254 10.0119 4.5749
Pm 3.9763 0.7603 4.5456
Tl 3.9763 6.5589 0.6782
Tl 1.3254 4.2132 8.4423
Tl 1.3254 5.7261 3.2051
Tl 3.9763 2.4334 -0.2304
Tl 3.9763 5.0460 5.9154
Tl 1.3254 8.3388 9.3510
CELL_PARAMETERS angstrom
5.3018 0.0000 0.0000
0.0000 10.0435 -2.3503
0.0000 0.7287 11.4708
```